1.
The following is a DFT calculation (PBE) of crystalline Sn3HBr at its relaxed geometry.

Density of states at the Fermi level   5.1 states/eV per cell
Polymorph energy (0 for the lowest one)   0.000 eV per atom

Cell lengths 4.901, 4.901, 4.901 Å; angles 90.00, 90.00, 90.00 degrees
Space group Pm-3m (No. 221)
Asymmetric unit:
Sn (0.000, 0.000, 0.500)
H (0.000, 0.000, 0.000)
Br (0.500, 0.500, 0.500)


2.
The following is a DFT calculation (PBE) of crystalline Te4Pt5 at its relaxed geometry.

Density of states at the Fermi level   7.5 states/eV per cell
Polymorph energy (0 for the lowest one)   0.000 eV per atom

Cell lengths 9.968, 9.968, 3.878 Å; angles 90.00, 90.00, 90.00 degrees
Space group I4/mmm (No. 139)
Asymmetric unit:
Te (0.000, 0.273, 0.000)
Pt (0.000, 0.000, 0.000)
Pt (0.179, 0.179, 0.500)


3.
The following is a DFT calculation (PBE) of crystalline Be2SiAs at its relaxed geometry.

Density of states at the Fermi level   0.7 states/eV per cell
Polymorph energy (0 for the lowest one)   0.195 eV per atom

Cell lengths 2.911, 2.911, 6.976 Å; angles 90.00, 90.00, 90.00 degrees
Space group P4mm (No. 99)
Asymmetric unit:
Be (0.000, 0.000, 0.000)
Be (0.500, 0.500, 0.151)
Si (0.000, 0.000, 0.346)
As (0.500, 0.500, 0.809)


4.
The following is a DFT calculation (PBE) of crystalline Tb6FePd2 at its relaxed geometry.

Density of states at the Fermi level   15.4 states/eV per cell
Formation energy   -3.4 eV per formula unit

Cell lengths 6.497, 7.371, 11.743 Å; angles 90.00, 123.02, 90.00 degrees
Space group P2_1/c (No. 14)
Asymmetric unit:
Tb (0.107, 0.184, 0.437)
Tb (0.271, 0.675, 0.435)
Tb (0.389, 0.033, 0.249)
Fe (0.000, 0.000, 0.000)
Pd (0.186, 0.116, 0.745)


5.
The following is a DFT calculation (PBE) of crystalline Sn2RhN2 at its relaxed geometry.

Density of states at the Fermi level   4.1 states/eV per cell
Polymorph energy (0 for the lowest one)   0.000 eV per atom

Cell lengths 4.552, 4.552, 7.816 Å; angles 90.00, 90.00, 90.00 degrees
Space group I4/mmm (No. 139)
Asymmetric unit:
Sn (0.000, 0.500, 0.250)
Rh (0.000, 0.000, 0.000)
N (0.000, 0.000, 0.272)


6.
The following is a DFT calculation (PBE) of crystalline MgBC at its relaxed geometry.

Density of states at the Fermi level   1.2 states/eV per cell
Formation energy   0.8 eV per formula unit
Polymorph energy (0 for the lowest one)   0.238 eV per atom

Cell lengths 4.077, 6.651, 5.741 Å; angles 90.00, 107.85, 90.00 degrees
Space group C2 (No. 5)
Asymmetric unit:
Mg (0.000, 0.000, 0.000)
Mg (0.000, 0.288, 0.500)
B (0.054, 0.649, 0.145)
C (0.019, 0.626, 0.622)


7.
The following is a DFT calculation (PBE) of crystalline K2RbCdF5 at its relaxed geometry.

Density of states at the Fermi level   0.0 states/eV per cell

Cell lengths 4.396, 6.407, 12.776 Å; angles 90.00, 90.00, 90.00 degrees
Space group Immm (No. 71)
Asymmetric unit:
K (0.000, 0.000, 0.213)
Rb (0.000, 0.500, 0.000)
Cd (0.000, 0.500, 0.500)
F (0.000, 0.000, 0.000)
F (0.000, 0.259, 0.370)


8.
The following is a DFT calculation (PBE) of crystalline PmCoAs2Ru at its relaxed geometry.

Density of states at the Fermi level   6.5 states/eV per cell
Formation energy   -3.4 eV per formula unit

Cell lengths 3.996, 3.996, 11.109 Å; angles 90.00, 90.00, 90.00 degrees
Space group I-4m2 (No. 119)
Asymmetric unit:
Pm (0.000, 0.000, 0.000)
Co (0.000, 0.500, 0.250)
As (0.000, 0.000, 0.369)
Ru (0.000, 0.500, 0.750)


9.
The following is a DFT calculation (PBE) of crystalline K2ReMo at its relaxed geometry.

Density of states at the Fermi level   39.2 states/eV per cell
Formation energy   12.0 eV per formula unit
Polymorph energy (0 for the lowest one)   2.143 eV per atom

Cell lengths 7.315, 7.315, 7.315 Å; angles 90.00, 90.00, 90.00 degrees
Space group Fm-3m (No. 225)
Asymmetric unit:
K (0.250, 0.250, 0.250)
Re (0.000, 0.000, 0.000)
Mo (0.000, 0.000, 0.500)


10.
The following is a DFT calculation (PBE) of crystalline BP3 at its relaxed geometry.

Formation energy   0.4 eV per formula unit
Polymorph energy (0 for the lowest one)   0.092 eV per atom

Cell lengths 5.426, 3.237, 5.511 Å; angles 90.00, 105.27, 90.00 degrees
Space group Pm (No. 6)
Asymmetric unit:
B (0.000, 0.000, 0.000)
P (0.033, 0.500, 0.849)
P (0.157, 0.500, 0.499)
P (0.889, 0.000, 0.306)


11.
The following is a DFT calculation (PBE) of crystalline Dy3YRu at its relaxed geometry.

Density of states at the Fermi level   12.0 states/eV per cell
Formation energy   -0.7 eV per formula unit
Polymorph energy (0 for the lowest one)   0.000 eV per atom

Cell lengths 7.606, 6.392, 6.210 Å; angles 90.00, 90.00, 90.00 degrees
Space group Pmn2_1 (No. 31)
Asymmetric unit:
Dy (0.000, 0.157, 0.000)
Dy (0.250, 0.321, 0.505)
Y (0.000, 0.844, 0.509)
Ru (0.000, 0.498, 0.254)


12.
The following is a DFT calculation (PBE) of crystalline Pa2SbPdN5 at its relaxed geometry.

Density of states at the Fermi level   4.9 states/eV per cell

Cell lengths 3.532, 13.491, 10.624 Å; angles 90.00, 90.00, 90.00 degrees
Space group Cmc2_1 (No. 36)
Asymmetric unit:
Pa (0.000, 0.102, 0.000)
Pa (0.000, 0.137, 0.597)
Sb (0.000, 0.204, 0.314)
Pd (0.000, 0.484, 0.781)
N (0.000, 0.042, 0.422)
N (0.000, 0.272, 0.033)
N (0.000, 0.333, 0.698)
N (0.000, 0.367, 0.347)
N (0.000, 0.481, 0.095)


Number 1: VASP energy -3.09 eV per atom. Number 2: VASP energy -4.81 eV per atom. Number 3: VASP energy -4.01 eV per atom. Number 4: VASP energy -5.56 eV per atom. Number 5: VASP energy -5.75 eV per atom. Number 6: VASP energy -5.58 eV per atom. Number 7: VASP energy -4.05 eV per atom. Number 8: VASP energy -6.77 eV per atom. Number 9: VASP energy -3.37 eV per atom. Number 10: VASP energy -5.63 eV per atom. Number 11: VASP energy -6.05 eV per atom. Number 12: VASP energy -8.21 eV per atom.